Entry 1:
Here is a relaxed structure of KFeWI2 from the Alexandria database. Energies are from PBE-GGA.

a = 5.3322 Å, b = 5.3322 Å, c = 7.0155 Å
α = 90.00°, β = 90.00°, γ = 90.00°
With the nearest neighbours (Å) after each atom.
Atoms (fractional coordinates):
K: 0.0000 0.0000 0.0000  2 W 3.51, 4 Fe 3.77
Fe: 0.5000 0.5000 0.0000  4 K 3.77
W: 0.0000 0.0000 0.5000  4 I 2.67
I: 0.0000 0.5000 0.5000  2 W 2.67
I: 0.5000 0.0000 0.5000  2 W 2.67

Results
Symmetry = P4/mmm, No. 123
Uncorrected formation energy = 1.4117 eV/atom

***

Entry 2:
Here is a relaxed structure of SrV2Ir from the Alexandria database. Energies are from PBE-GGA.

a = 4.5697 Å, b = 4.5697 Å, c = 4.5697 Å
α = 60.00°, β = 60.00°, γ = 60.00°
With the nearest neighbours (Å) after each atom.
Atoms (fractional coordinates):
Sr: 0.0000 0.0000 0.0000  8 V 2.80
V: 0.2500 0.2500 0.2500  4 Ir 2.80, 4 Sr 2.80
V: 0.7500 0.7500 0.7500  4 Ir 2.80, 4 Sr 2.80
Ir: 0.5000 0.5000 0.5000  8 V 2.80

Results
Symmetry = Fm-3m, No. 225
Energy above the lowest structure with this stoichiometry = 0.00 eV/f.u.

***

Entry 3:
Here is a relaxed structure of Mg2ScCu from the Alexandria database. Energies are from PBE-GGA.

a = 3.1806 Å, b = 3.1806 Å, c = 7.7553 Å
α = 90.00°, β = 90.00°, γ = 90.00°
With the nearest neighbours (Å) after each atom.
Atoms (fractional coordinates):
Mg: 0.0000 0.0000 0.2021  4 Cu 2.74
Mg: 0.0000 0.0000 0.7979  4 Cu 2.74
Sc: 0.5000 0.5000 0.5000  4 Sc 3.18, 8 Mg 3.22
Cu: 0.5000 0.5000 0.0000  8 Mg 2.74

Results
Symmetry = P4/mmm, No. 123

***

Entry 4:
Here is a relaxed structure of LaNd7Mg2 from the Alexandria database. Energies are from PBE-GGA.

a = 8.9227 Å, b = 3.4522 Å, c = 11.7774 Å
α = 90.00°, β = 111.02°, γ = 90.00°
With the nearest neighbours (Å) after each atom.
Atoms (fractional coordinates):
La: 0.0000 0.0000 0.0000  2 La 3.45, 4 Nd 3.74, 4 Mg 3.76
Nd: 0.0000 0.5000 0.5000  10 Nd 3.40-3.74
Nd: 0.1940 0.5000 0.8063  2 Mg 3.31-3.38, 4 Nd 3.40-3.45
Nd: 0.2206 0.5000 0.3112  1 Mg 3.38, 8 Nd 3.45-3.78
Nd: 0.3987 0.0000 0.6159  11 Nd 3.45-3.78, 2 Mg 3.59
Nd: 0.6013 0.0000 0.3841  11 Nd 3.45-3.78, 2 Mg 3.59
Nd: 0.7794 0.5000 0.6888  1 Mg 3.38, 8 Nd 3.45-3.78
Nd: 0.8060 0.5000 0.1937  2 Mg 3.31-3.38, 4 Nd 3.40-3.45
Mg: 0.4007 0.5000 0.1029  5 Nd 3.31-3.59, 3 Mg 3.45-3.48
Mg: 0.5993 0.5000 0.8971  5 Nd 3.31-3.59, 3 Mg 3.45-3.48

Results
Symmetry = P2/m, No. 10
Energy above the lowest structure with this stoichiometry = 0.00 eV/f.u.

***

Entry 5:
Here is a relaxed structure of AlFeCl2 from the Alexandria database. Energies are from PBE-GGA.

a = 3.3874 Å, b = 3.3874 Å, c = 9.1663 Å
α = 90.00°, β = 90.00°, γ = 125.16°
With the nearest neighbours (Å) after each atom.
Atoms (fractional coordinates):
Al: 0.0000 0.0000 0.0000  2 Cl 2.36, 2 Fe 2.51
Fe: 0.5000 0.5000 0.7858  2 Cl 2.30, 2 Al 2.51
Cl: 0.0000 0.0000 0.6016  2 Fe 2.30
Cl: 0.5000 0.5000 0.1931  2 Al 2.36

Results
Symmetry = Cmm2, No. 35
Uncorrected formation energy = -0.3867 eV/atom
Energy above the lowest structure with this stoichiometry = 0.35 eV/f.u.

***

Entry 6:
Here is a relaxed structure of Ac2MnGa3Ir4 from the Alexandria database. Energies are from PBE-GGA.

a = 4.3222 Å, b = 4.3222 Å, c = 10.6756 Å
α = 90.00°, β = 90.00°, γ = 90.00°
With the nearest neighbours (Å) after each atom.
Atoms (fractional coordinates):
Ac: 0.0000 0.5000 0.2437  8 Ir 3.31-3.38, 6 Ga 3.32-3.49, 2 Mn 3.49
Ac: 0.5000 0.0000 0.7563  8 Ir 3.31-3.38, 6 Ga 3.32-3.49, 2 Mn 3.49
Mn: 0.0000 0.0000 0.5000  4 Ir 2.61
Ga: 0.0000 0.5000 0.8787  5 Ir 2.52-2.58
Ga: 0.5000 0.0000 0.1213  5 Ir 2.52-2.58
Ga: 0.5000 0.5000 0.5000  4 Ir 2.61
Ir: 0.0000 0.0000 0.0000  4 Ga 2.52
Ir: 0.0000 0.5000 0.6373  3 Ga 2.58-2.61, 2 Mn 2.61
Ir: 0.5000 0.0000 0.3627  3 Ga 2.58-2.61, 2 Mn 2.61
Ir: 0.5000 0.5000 0.0000  4 Ga 2.52

Results
Symmetry = P-4m2, No. 115

***

Entry 7:
Here is a relaxed structure of MoRuRh from the Alexandria database. Energies are from PBE-GGA.

a = 4.3481 Å, b = 4.3481 Å, c = 5.4212 Å
α = 90.00°, β = 90.00°, γ = 120.00°
With the nearest neighbours (Å) after each atom.
Atoms (fractional coordinates):
Mo: 0.3333 0.6667 0.2500  5 Rh 2.51-2.71
Mo: 0.6667 0.3333 0.7500  5 Rh 2.51-2.71
Ru: 0.0000 0.0000 0.0000  2 Ru 2.71, 6 Mo 2.85, 6 Rh 2.85
Ru: 0.0000 0.0000 0.5000  2 Ru 2.71, 6 Mo 2.85, 6 Rh 2.85
Rh: 0.3333 0.6667 0.7500  5 Mo 2.51-2.71
Rh: 0.6667 0.3333 0.2500  5 Mo 2.51-2.71

Results
Symmetry = P6_3/mmc, No. 194
Energy above the lowest structure with this stoichiometry = 0.31 eV/f.u.

***

Entry 8:
Here is a relaxed structure of Pr4GaAsSe2 from the Alexandria database. Energies are from PBE-GGA.

a = 7.4966 Å, b = 4.2419 Å, c = 7.5096 Å
α = 90.00°, β = 108.85°, γ = 90.00°
With the nearest neighbours (Å) after each atom.
Atoms (fractional coordinates):
Pr: 0.2464 0.0000 0.2414  2 As 3.01, 1 Ga 3.02, 3 Se 3.08
Pr: 0.2485 0.5000 0.7519  1 As 3.03, 2 Ga 3.04, 3 Se 3.04-3.07
Pr: 0.7515 0.5000 0.2481  1 As 3.03, 2 Ga 3.04, 3 Se 3.04-3.07
Pr: 0.7536 0.0000 0.7586  2 As 3.01, 1 Ga 3.02, 3 Se 3.08
Ga: 0.5000 0.0000 0.0000  6 Pr 3.02-3.04
As: 0.0000 0.5000 0.0000  6 Pr 3.01-3.03
Se: 0.0000 0.0000 0.5000  6 Pr 3.04-3.08
Se: 0.5000 0.5000 0.5000  6 Pr 3.07-3.08

Results
Symmetry = P2/m, No. 10
Uncorrected formation energy = -1.4537 eV/atom

***

Entry 9:
Here is a relaxed structure of Ga2OsI from the Alexandria database. Energies are from PBE-GGA.

a = 7.5204 Å, b = 7.5204 Å, c = 7.5204 Å
α = 130.59°, β = 130.59°, γ = 72.46°
With the nearest neighbours (Å) after each atom.
Atoms (fractional coordinates):
Ga: 0.0329 0.6250 0.9079  2 Os 2.40
Ga: 0.3750 0.2829 0.4079  2 Os 2.40
Ga: 0.7171 0.1250 0.0921  2 Os 2.40
Ga: 0.8750 0.9671 0.5921  2 Os 2.40
Os: 0.0000 0.0000 0.0000  4 Ga 2.40
Os: 0.7500 0.2500 0.5000  4 Ga 2.40
I: 0.2500 0.7500 0.5000  4 Ga 3.06
I: 0.5000 0.5000 0.0000  4 Ga 3.06

Results
Symmetry = I-42d, No. 122
Uncorrected formation energy = 0.5771 eV/atom
Energy above the lowest structure with this stoichiometry = 0.00 eV/f.u.

***

Entry 10:
Here is a relaxed structure of Li4Pr3Ag4 from the Alexandria database. Energies are from PBE-GGA.

a = 3.7102 Å, b = 4.5992 Å, c = 15.1224 Å
α = 98.64°, β = 96.97°, γ = 90.01°
With the nearest neighbours (Å) after each atom.
Atoms (fractional coordinates):
Li: 0.0939 0.0946 0.1888  3 Ag 2.66-2.74
Li: 0.2467 0.7464 0.4926  4 Ag 2.72-2.91, 4 Li 2.96
Li: 0.7533 0.2536 0.5074  4 Ag 2.72-2.91, 4 Li 2.96
Li: 0.9061 0.9054 0.8112  3 Ag 2.66-2.74
Pr: 0.3557 0.3554 0.7109  6 Ag 3.20-3.38, 6 Li 3.30-3.55
Pr: 0.5000 0.0000 0.0000  8 Ag 3.30, 4 Li 3.36
Pr: 0.6443 0.6446 0.2891  6 Ag 3.20-3.38, 6 Li 3.30-3.55
Ag: 0.0491 0.5498 0.0990  2 Li 2.66, 1 Ag 2.94
Ag: 0.1866 0.1865 0.3731  5 Li 2.72-2.91
Ag: 0.8134 0.8135 0.6269  5 Li 2.72-2.91
Ag: 0.9509 0.4502 0.9010  2 Li 2.66, 1 Ag 2.94

Results
Symmetry = P-1, No. 2
Energy above the lowest structure with this stoichiometry = 0.14 eV/f.u.

***

Entry 11:
Here is a relaxed structure of SrSiPb4 from the Alexandria database. Energies are from PBE-GGA.

a = 6.4882 Å, b = 6.4882 Å, c = 6.4882 Å
α = 60.00°, β = 60.00°, γ = 60.00°
With the nearest neighbours (Å) after each atom.
Atoms (fractional coordinates):
Sr: 0.0000 0.0000 0.0000  12 Pb 3.80, 4 Si 3.97
Si: 0.2500 0.2500 0.2500  12 Pb 3.80, 4 Sr 3.97
Pb: 0.1258 0.6247 0.6247  6 Pb 3.24-3.25
Pb: 0.6247 0.1258 0.6247  6 Pb 3.24-3.25
Pb: 0.6247 0.6247 0.1258  6 Pb 3.24-3.25
Pb: 0.6247 0.6247 0.6247  6 Pb 3.24-3.25

Results
Symmetry = F-43m, No. 216
Uncorrected formation energy = 0.1778 eV/atom

***

Entry 12:
Here is a relaxed structure of H2OsN from the Alexandria database. Energies are from PBE-GGA.

a = 5.0090 Å, b = 5.0090 Å, c = 2.7274 Å
α = 97.73°, β = 97.73°, γ = 147.08°
With the nearest neighbours (Å) after each atom.
Atoms (fractional coordinates):
H: 0.1845 0.1845 0.3434  1 N 1.04
H: 0.8155 0.8155 0.6566  1 N 1.04
Os: 0.2720 0.7280 0.0000  2 N 2.04
N: 0.4294 0.5706 0.5000  2 H 1.04

Results
Symmetry = C2, No. 5
Energy above the lowest structure with this stoichiometry = 1.30 eV/f.u.

***

Entry 13:
Here is a relaxed structure of TeIr2Cl from the Alexandria database. Energies are from PBE-GGA.

a = 2.9621 Å, b = 4.5337 Å, c = 5.4787 Å
α = 90.00°, β = 100.84°, γ = 90.00°
With the nearest neighbours (Å) after each atom.
Atoms (fractional coordinates):
Te: 0.0000 0.0000 0.0000  4 Ir 2.74, 2 Cl 2.86, 2 Te 2.96
Ir: 0.1729 0.5000 0.2818  2 Cl 2.66, 2 Te 2.74, 4 Ir 2.77-2.96
Ir: 0.8271 0.5000 0.7182  2 Cl 2.66, 2 Te 2.74, 4 Ir 2.77-2.96
Cl: 0.5000 0.0000 0.5000  4 Ir 2.66, 2 Te 2.86, 2 Cl 2.96

Results
Symmetry = P2/m, No. 10
Uncorrected formation energy = 0.6931 eV/atom
Energy above the lowest structure with this stoichiometry = 2.37 eV/f.u.

***

Entry 14:
Here is a relaxed structure of NaZnAsF from the Alexandria database. Energies are from PBE-GGA.

a = 3.9768 Å, b = 3.9768 Å, c = 7.1466 Å
α = 111.75°, β = 111.75°, γ = 48.22°
With the nearest neighbours (Å) after each atom.
Atoms (fractional coordinates):
Na: 0.0000 0.0000 0.0000  3 F 2.28-2.35
Zn: 0.1304 0.1304 0.5727  1 F 2.02
As: 0.7654 0.7654 0.3924  3 Zn 2.43-2.51
F: 0.2591 0.2591 0.8827  1 Zn 2.02

Results
Symmetry = Cm, No. 8
Uncorrected formation energy = -1.2268 eV/atom
Energy above the lowest structure with this stoichiometry = 0.00 eV/f.u.

***

Entry 15:
Here is a relaxed structure of CaOsSe2 from the Alexandria database. Energies are from PBE-GGA.

a = 3.7002 Å, b = 4.4903 Å, c = 5.7441 Å
α = 90.00°, β = 108.63°, γ = 90.00°
With the nearest neighbours (Å) after each atom.
Atoms (fractional coordinates):
Ca: 0.0000 0.0000 0.0000  7 Se 2.99-3.07
Os: 0.6569 0.5000 0.3165  3 Se 2.36-2.42
Se: 0.4360 0.5000 0.8711  1 Os 2.42
Se: 0.7233 0.0000 0.4499  2 Os 2.36

Results
Symmetry = Pm, No. 6
Uncorrected formation energy = -0.3563 eV/atom
Energy above the lowest structure with this stoichiometry = 1.12 eV/f.u.

***

Entry 16:
Here is a relaxed structure of PmSn3Pd from the Alexandria database. Energies are from PBE-GGA.

a = 9.1420 Å, b = 9.1420 Å, c = 6.3515 Å
α = 101.07°, β = 101.07°, γ = 87.54°
With the nearest neighbours (Å) after each atom.
Atoms (fractional coordinates):
Pm: 0.0511 0.2390 0.4892  1 Pd 3.10, 7 Sn 3.22-3.37
Pm: 0.2390 0.0511 0.9892  1 Pd 3.10, 7 Sn 3.22-3.37
Pm: 0.7610 0.9489 0.0108  1 Pd 3.10, 7 Sn 3.22-3.37
Pm: 0.9489 0.7610 0.5108  1 Pd 3.10, 7 Sn 3.22-3.37
Sn: 0.0635 0.7459 0.0339  1 Pd 2.86, 2 Sn 3.19
Sn: 0.2021 0.5214 0.3573  2 Pd 2.79-2.80, 1 Sn 3.03
Sn: 0.2526 0.4552 0.8901  3 Pd 2.76-2.81, 1 Sn 3.03
Sn: 0.2541 0.9365 0.4661  1 Pd 2.86, 2 Sn 3.19
Sn: 0.4552 0.2526 0.3901  3 Pd 2.76-2.81, 1 Sn 3.03
Sn: 0.4786 0.7979 0.1427  2 Pd 2.79-2.80, 1 Sn 3.03
Sn: 0.5214 0.2021 0.8573  2 Pd 2.79-2.80, 1 Sn 3.03
Sn: 0.5448 0.7474 0.6099  3 Pd 2.76-2.81, 1 Sn 3.03
Sn: 0.7459 0.0635 0.5339  1 Pd 2.86, 2 Sn 3.19
Sn: 0.7474 0.5448 0.1099  3 Pd 2.76-2.81, 1 Sn 3.03
Sn: 0.7979 0.4786 0.6427  2 Pd 2.79-2.80, 1 Sn 3.03
Sn: 0.9365 0.2541 0.9661  1 Pd 2.86, 2 Sn 3.19
Pd: 0.2744 0.7256 0.7500  6 Sn 2.80-2.86, 1 Pd 3.05, 2 Pm 3.10
Pd: 0.4845 0.5155 0.2500  6 Sn 2.76-2.79, 1 Pd 3.05
Pd: 0.5155 0.4845 0.7500  6 Sn 2.76-2.79, 1 Pd 3.05
Pd: 0.7256 0.2744 0.2500  6 Sn 2.80-2.86, 1 Pd 3.05, 2 Pm 3.10

Results
Symmetry = C2/c, No. 15
Energy above the lowest structure with this stoichiometry = 0.65 eV/f.u.

***

no.,VASP energy (eV/atom)
1,-3.711
2,-6.584
3,-3.444
4,-4.016
5,-4.361
6,-6.791
7,-9.158
8,-5.674
9,-4.131
10,-3.194
11,-3.479
12,-6.111
13,-4.985
14,-3.505
15,-5.406
16,-4.837